(1)
A relaxed structure of MgIr2Ru2. Source: the Alexandria database, functional GGA-PBE.

a b c (Å): 6.325 6.325 6.325
angles (deg): 144.35 144.35 51.30
Fractional positions:
Mg 0.000 0.000 0.000
Ir 0.396 0.396 0.000
Ir 0.604 0.604 0.000
Ru 0.250 0.750 0.500
Ru 0.750 0.250 0.500

Output
space group	I4/mmm (139)
energy of formation	0.236	eV per atom
polymorph energy (0 for the lowest one)	0.176	eV per atom

(2)
A relaxed structure of Nb2Ru2Pt. Source: the Alexandria database, functional GGA-PBE.

a b c (Å): 7.311 7.311 3.071
angles (deg): 90.00 90.00 90.00
Fractional positions:
Nb 0.166 0.334 0.000
Nb 0.334 0.834 0.000
Nb 0.666 0.166 0.000
Nb 0.834 0.666 0.000
Ru 0.135 0.635 0.500
Ru 0.365 0.135 0.500
Ru 0.635 0.865 0.500
Ru 0.865 0.365 0.500
Pt 0.000 0.000 0.500
Pt 0.500 0.500 0.500

Output
space group	P4/mbm (127)
energy of formation	-0.220	eV per atom
polymorph energy (0 for the lowest one)	0.000	eV per atom

(3)
A relaxed structure of BaLiCu10. Source: the Alexandria database, functional GGA-PBE.

a b c (Å): 4.138 5.045 8.938
angles (deg): 90.00 90.00 90.00
Fractional positions:
Ba 0.000 0.000 0.000
Li 0.000 0.500 0.500
Cu 0.000 0.000 0.352
Cu 0.000 0.000 0.648
Cu 0.000 0.500 0.207
Cu 0.000 0.500 0.793
Cu 0.500 0.000 0.500
Cu 0.500 0.255 0.265
Cu 0.500 0.255 0.735
Cu 0.500 0.500 0.000
Cu 0.500 0.745 0.265
Cu 0.500 0.745 0.735

Output
space group	Pmmm (47)
energy of formation	0.023	eV per atom